# CsRbWF6

An optimized crystal structure of CsRbWF6 (PBE+U, Alexandria).

Lattice parameters (Å, degrees): 6.8353 6.8353 10.2717 90.00 90.00 120.00
Space group P-31c (No. 163)
Inequivalent atoms, fractional coordinates:
Cs: 0.0000 0.0000 0.0000
Rb: 0.3333 0.6667 0.2500
W: 0.3333 0.6667 0.7500
F: 0.0888 0.4243 0.6379

Results
- Calculated density: 4.1 g/cm3
- Crystal system: trigonal
- Raw total energy: -5.109 eV per atom